[1]
! Ag2SbPb | Alexandria | meta-GGA SCAN | single point on PBEsol structure; values from VASP
! * E_form (uncorrected): 0.16 eV/atom
&SYSTEM
  ibrav = 0, nat = 4, ntyp = 3
/
ATOMIC_SPECIES
Ag 107.87 Ag.upf
Sb 121.76 Sb.upf
Pb 207.20 Pb.upf
ATOMIC_POSITIONS crystal
Ag 0.0000 0.5000 0.0000
Ag 0.5000 0.0000 0.0000
Sb 0.0000 0.0000 0.5000
Pb 0.5000 0.5000 0.5000
CELL_PARAMETERS angstrom
3.2323 -3.9828 0.0000
3.2323 3.9828 0.0000
0.0000 0.0000 3.4251

---

[2]
! CdIn2Se2S2 | Alexandria | meta-GGA SCAN | single point on PBEsol structure; values from VASP
! * E_form (uncorrected): -0.68 eV/atom
&SYSTEM
  ibrav = 0, nat = 14, ntyp = 4
/
ATOMIC_SPECIES
Cd 112.41 Cd.upf
In 114.82 In.upf
Se 78.96 Se.upf
S 32.06 S.upf
ATOMIC_POSITIONS crystal
Cd 0.0000 0.0000 0.0000
Cd 0.2500 0.2500 0.2500
In 0.1148 0.6284 0.6284
In 0.6284 0.1148 0.6284
In 0.6284 0.6284 0.1148
In 0.6284 0.6284 0.6284
Se 0.3840 0.3840 0.3840
Se 0.3840 0.3840 0.8479
Se 0.3840 0.8479 0.3840
Se 0.8479 0.3840 0.3840
S 0.4042 0.8653 0.8653
S 0.8653 0.4042 0.8653
S 0.8653 0.8653 0.4042
S 0.8653 0.8653 0.8653
CELL_PARAMETERS angstrom
0.0000 5.5563 5.5563
5.5563 0.0000 5.5563
5.5563 5.5563 0.0000

---

[3]
! Cr2TeRh | Alexandria | meta-GGA SCAN | single point on PBEsol structure; values from VASP
! * E_form (uncorrected): 0.15 eV/atom
&SYSTEM
  ibrav = 0, nat = 4, ntyp = 3
/
ATOMIC_SPECIES
Cr 52.00 Cr.upf
Te 127.60 Te.upf
Rh 102.91 Rh.upf
ATOMIC_POSITIONS crystal
Cr 0.2500 0.7500 0.5000
Cr 0.7500 0.2500 0.5000
Te 0.0000 0.0000 0.0000
Rh 0.5000 0.5000 0.0000
CELL_PARAMETERS angstrom
-1.9272 1.9272 3.8059
1.9272 -1.9272 3.8059
1.9272 1.9272 -3.8059

---

[4]
! LiTlIn | Alexandria | meta-GGA SCAN | single point on PBEsol structure; values from VASP
! * formation enthalpy at 0 K: -0.156 eV per atom
! * ΔE to the lowest computed polymorph: 0.033 eV/atom
&SYSTEM
  ibrav = 0, nat = 3, ntyp = 3
/
ATOMIC_SPECIES
Li 6.94 Li.upf
Tl 204.38 Tl.upf
In 114.82 In.upf
ATOMIC_POSITIONS crystal
Li 0.0000 0.0000 0.0000
Tl 0.6624 0.6624 0.0000
In 0.3375 0.3375 0.0000
CELL_PARAMETERS angstrom
-1.6781 2.1240 4.8271
1.6781 -2.1240 4.8271
1.6781 2.1240 -4.8271

---

[5]
! LaTa2Mn | Alexandria | meta-GGA SCAN | single point on PBEsol structure; values from VASP
! * formation enthalpy at 0 K: 0.466 eV per atom
! * ΔE to the lowest computed polymorph: 0.150 eV/atom
&SYSTEM
  ibrav = 0, nat = 4, ntyp = 3
/
ATOMIC_SPECIES
La 138.91 La.upf
Ta 180.95 Ta.upf
Mn 54.94 Mn.upf
ATOMIC_POSITIONS crystal
La 0.0000 0.0000 0.0000
Ta 0.0000 0.0000 0.4422
Ta 0.5000 0.5000 0.6865
Mn 0.5000 0.5000 0.2443
CELL_PARAMETERS angstrom
1.6143 -2.4326 0.0000
1.6143 2.4326 0.0000
0.0000 0.0000 9.3139

---

[6]
! Sr15Pd5O24 | Alexandria | meta-GGA SCAN | single point on PBEsol structure; values from VASP
! * E_form (uncorrected): -2.36 eV/atom
&SYSTEM
  ibrav = 0, nat = 44, ntyp = 3
/
ATOMIC_SPECIES
Sr 87.62 Sr.upf
Pd 106.42 Pd.upf
O 16.00 O.upf
ATOMIC_POSITIONS crystal
Sr 0.0000 0.0000 0.0000
Sr 0.1279 0.8667 0.7509
Sr 0.1305 0.4981 0.9331
Sr 0.1324 0.5018 0.4359
Sr 0.1333 0.8721 0.2491
Sr 0.2630 0.3699 0.1846
Sr 0.2707 0.3675 0.6793
Sr 0.4982 0.8676 0.5641
Sr 0.5019 0.8695 0.0669
Sr 0.6301 0.7370 0.8154
Sr 0.6325 0.7293 0.3207
Sr 0.6325 0.3675 0.0000
Sr 0.7578 0.2348 0.7435
Sr 0.7652 0.2422 0.2565
Sr 0.9898 0.0102 0.5000
Pd 0.3811 0.1181 0.8741
Pd 0.3823 0.1202 0.3765
Pd 0.6301 0.3699 0.5000
Pd 0.8798 0.6177 0.6235
Pd 0.8819 0.6189 0.1259
O 0.0962 0.1776 0.8374
O 0.0995 0.1803 0.3387
O 0.1634 0.6938 0.5959
O 0.1663 0.6917 0.0949
O 0.3062 0.8366 0.4041
O 0.3083 0.8337 0.9051
O 0.3224 0.1935 0.0172
O 0.3311 0.1966 0.5173
O 0.4377 0.0407 0.7322
O 0.4434 0.0497 0.2339
O 0.4561 0.4034 0.8425
O 0.4633 0.4019 0.3558
O 0.5966 0.5439 0.1575
O 0.5981 0.5367 0.6442
O 0.6635 0.0712 0.4167
O 0.6667 0.0586 0.9103
O 0.8034 0.6689 0.4827
O 0.8065 0.6776 0.9828
O 0.8197 0.9005 0.6613
O 0.8224 0.9038 0.1626
O 0.9288 0.3365 0.5833
O 0.9414 0.3333 0.0897
O 0.9503 0.5566 0.7661
O 0.9593 0.5623 0.2678
CELL_PARAMETERS angstrom
4.8093 -4.8139 0.0000
4.8093 4.8139 0.0000
-0.0142 0.0000 13.5885

---

[7]
! AsSeCl2 | Alexandria | meta-GGA SCAN | single point on PBEsol structure; values from VASP
! * E_form (uncorrected): -0.21 eV/atom
! * ΔE to the lowest computed polymorph: 0.000 eV/atom
&SYSTEM
  ibrav = 0, nat = 4, ntyp = 3
/
ATOMIC_SPECIES
As 74.92 As.upf
Se 78.96 Se.upf
Cl 35.45 Cl.upf
ATOMIC_POSITIONS crystal
As 0.0000 0.0000 0.0000
Se 0.5000 0.5000 0.9782
Cl 0.0000 0.0000 0.6800
Cl 0.5000 0.5000 0.2993
CELL_PARAMETERS angstrom
3.9173 0.0000 0.0000
0.0000 3.9173 0.0000
0.0000 0.0000 6.8759

---

[8]
! CoNi2Sb | Alexandria | meta-GGA SCAN | single point on PBEsol structure; values from VASP
! * E_form (uncorrected): 0.48 eV/atom
&SYSTEM
  ibrav = 0, nat = 4, ntyp = 3
/
ATOMIC_SPECIES
Co 58.93 Co.upf
Ni 58.69 Ni.upf
Sb 121.76 Sb.upf
ATOMIC_POSITIONS crystal
Co 0.0000 0.0000 0.0000
Ni 0.2549 0.2549 0.2549
Ni 0.7451 0.7451 0.7451
Sb 0.5000 0.5000 0.5000
CELL_PARAMETERS angstrom
1.4632 0.8448 7.5043
-1.4632 0.8448 7.5043
0.0000 -1.6896 7.5043

---

[9]
! CaYO2F | Alexandria | meta-GGA SCAN | single point on PBEsol structure; values from VASP
! * E_form (uncorrected): -3.32 eV/atom
&SYSTEM
  ibrav = 0, nat = 5, ntyp = 4
/
ATOMIC_SPECIES
Ca 40.08 Ca.upf
Y 88.91 Y.upf
O 16.00 O.upf
F 19.00 F.upf
ATOMIC_POSITIONS crystal
Ca 0.0000 0.0000 0.0000
Y 0.5000 0.5000 0.5000
O 0.0000 0.5000 0.5000
O 0.5000 0.0000 0.5000
F 0.5000 0.5000 0.0000
CELL_PARAMETERS angstrom
4.3486 0.0000 0.0000
0.0000 4.3486 0.0000
0.0000 0.0000 4.2078

---

[10]
! CaSi2Br | Alexandria | meta-GGA SCAN | single point on PBEsol structure; values from VASP
! * E_form (uncorrected): -0.35 eV/atom
! * ΔE to the lowest computed polymorph: 0.391 eV/atom
&SYSTEM
  ibrav = 0, nat = 4, ntyp = 3
/
ATOMIC_SPECIES
Ca 40.08 Ca.upf
Si 28.09 Si.upf
Br 79.90 Br.upf
ATOMIC_POSITIONS crystal
Ca 0.0000 0.0000 0.0000
Si 0.2225 0.5000 0.8271
Si 0.7775 0.5000 0.1729
Br 0.5000 0.0000 0.5000
CELL_PARAMETERS angstrom
3.8150 0.0000 0.0000
0.0000 6.0500 0.0000
-0.3428 0.0000 4.1189

---

[11]
! Ba2SrCa | Alexandria | meta-GGA SCAN | single point on PBEsol structure; values from VASP
! * formation enthalpy at 0 K: 0.029 eV per atom
! * ΔE to the lowest computed polymorph: 0.003 eV/atom
&SYSTEM
  ibrav = 0, nat = 4, ntyp = 3
/
ATOMIC_SPECIES
Ba 137.33 Ba.upf
Sr 87.62 Sr.upf
Ca 40.08 Ca.upf
ATOMIC_POSITIONS crystal
Ba 0.0000 0.0000 0.0000
Ba 0.2500 0.2500 0.2500
Sr 0.7500 0.7500 0.7500
Ca 0.5000 0.5000 0.5000
CELL_PARAMETERS angstrom
0.0000 4.6852 4.6852
4.6852 0.0000 4.6852
4.6852 4.6852 0.0000

---

[12]
! LaTl | Alexandria | meta-GGA SCAN | single point on PBEsol structure; values from VASP
! * formation enthalpy at 0 K: -0.644 eV per atom
&SYSTEM
  ibrav = 0, nat = 4, ntyp = 2
/
ATOMIC_SPECIES
La 138.91 La.upf
Tl 204.38 Tl.upf
ATOMIC_POSITIONS crystal
La 0.2500 0.0000 0.2399
La 0.7500 0.0000 0.7601
Tl 0.2500 0.5000 0.7369
Tl 0.7500 0.5000 0.2631
CELL_PARAMETERS angstrom
5.5162 0.0000 0.0000
0.0000 3.9138 0.0000
0.0000 0.0000 5.5380

---

[13]
! TmBe13 | Alexandria | meta-GGA SCAN | single point on PBEsol structure; values from VASP
! * formation enthalpy at 0 K: -0.179 eV per atom
&SYSTEM
  ibrav = 0, nat = 28, ntyp = 2
/
ATOMIC_SPECIES
Tm 168.93 Tm.upf
Be 9.01 Be.upf
ATOMIC_POSITIONS crystal
Tm 0.2500 0.2500 0.2500
Tm 0.7500 0.7500 0.7500
Be 0.0000 0.0000 0.0000
Be 0.0621 0.2917 0.7083
Be 0.0621 0.7083 0.9379
Be 0.0621 0.9379 0.2917
Be 0.2083 0.4379 0.7917
Be 0.2083 0.5621 0.4379
Be 0.2083 0.7917 0.5621
Be 0.2917 0.0621 0.9379
Be 0.2917 0.7083 0.0621
Be 0.2917 0.9379 0.7083
Be 0.4379 0.2083 0.5621
Be 0.4379 0.5621 0.7917
Be 0.4379 0.7917 0.2083
Be 0.5000 0.5000 0.5000
Be 0.5621 0.2083 0.7917
Be 0.5621 0.4379 0.2083
Be 0.5621 0.7917 0.4379
Be 0.7083 0.0621 0.2917
Be 0.7083 0.2917 0.9379
Be 0.7083 0.9379 0.0621
Be 0.7917 0.2083 0.4379
Be 0.7917 0.4379 0.5621
Be 0.7917 0.5621 0.2083
Be 0.9379 0.0621 0.7083
Be 0.9379 0.2917 0.0621
Be 0.9379 0.7083 0.2917
CELL_PARAMETERS angstrom
0.0000 5.0436 5.0436
5.0436 0.0000 5.0436
5.0436 5.0436 0.0000

---

[14]
! TiPtI2 | Alexandria | meta-GGA SCAN | single point on PBEsol structure; values from VASP
! * E_form (uncorrected): 0.42 eV/atom
&SYSTEM
  ibrav = 0, nat = 4, ntyp = 3
/
ATOMIC_SPECIES
Ti 47.87 Ti.upf
Pt 195.08 Pt.upf
I 126.90 I.upf
ATOMIC_POSITIONS crystal
Ti 0.0000 0.0000 0.0000
Pt 0.5000 0.5000 0.5000
I 0.2500 0.2500 0.2500
I 0.7500 0.7500 0.7500
CELL_PARAMETERS angstrom
0.0000 3.4754 3.4754
3.4754 0.0000 3.4754
3.4754 3.4754 0.0000

---

[15]
! Co4Pt3 | Alexandria | meta-GGA SCAN | single point on PBEsol structure; values from VASP
! * formation enthalpy at 0 K: 0.285 eV per atom
&SYSTEM
  ibrav = 0, nat = 7, ntyp = 2
/
ATOMIC_SPECIES
Co 58.93 Co.upf
Pt 195.08 Pt.upf
ATOMIC_POSITIONS crystal
Co 0.0000 0.0000 0.2448
Co 0.0000 0.0000 0.7552
Co 0.3333 0.6667 0.0000
Co 0.6667 0.3333 0.0000
Pt 0.0000 0.5000 0.5000
Pt 0.5000 0.0000 0.5000
Pt 0.5000 0.5000 0.5000
CELL_PARAMETERS angstrom
5.0500 0.0000 0.0000
-2.5250 4.3734 0.0000
0.0000 0.0000 4.3779

---

[16]
! Mg2Tl | Alexandria | meta-GGA SCAN | single point on PBEsol structure; values from VASP
! * formation enthalpy at 0 K: -0.098 eV per atom
&SYSTEM
  ibrav = 0, nat = 6, ntyp = 2
/
ATOMIC_SPECIES
Mg 24.30 Mg.upf
Tl 204.38 Tl.upf
ATOMIC_POSITIONS crystal
Mg 0.0389 0.0389 0.3083
Mg 0.3612 0.3612 0.9662
Mg 0.6388 0.6388 0.0338
Mg 0.9611 0.9611 0.6917
Tl 0.3176 0.3176 0.3488
Tl 0.6824 0.6824 0.6512
CELL_PARAMETERS angstrom
5.8158 -1.6798 0.0000
5.8158 1.6798 0.0000
-2.6280 0.0000 7.1701

---

[17]
! In2CF | Alexandria | meta-GGA SCAN | single point on PBEsol structure; values from VASP
! * E_form (uncorrected): 0.22 eV/atom
&SYSTEM
  ibrav = 0, nat = 4, ntyp = 3
/
ATOMIC_SPECIES
In 114.82 In.upf
C 12.01 C.upf
F 19.00 F.upf
ATOMIC_POSITIONS crystal
In 0.2500 0.2500 0.2500
In 0.7500 0.7500 0.7500
C 0.0000 0.0000 0.0000
F 0.5000 0.5000 0.5000
CELL_PARAMETERS angstrom
0.0000 3.0533 3.0533
3.0533 0.0000 3.0533
3.0533 3.0533 0.0000

---

[18]
! Zn2SiH2O5 | Alexandria | meta-GGA SCAN | single point on PBEsol structure; values from VASP
! * total DFT energy (no corrections): -93.92 eV/f.u.
&SYSTEM
  ibrav = 0, nat = 20, ntyp = 4
/
ATOMIC_SPECIES
Zn 65.41 Zn.upf
Si 28.09 Si.upf
H 1.01 H.upf
O 16.00 O.upf
ATOMIC_POSITIONS crystal
Zn 0.1606 0.2045 0.3651
Zn 0.1606 0.7955 0.9561
Zn 0.8394 0.2045 0.0439
Zn 0.8394 0.7955 0.6349
Si 0.3470 0.4930 0.8539
Si 0.6391 0.4930 0.1461
H 0.3505 0.7604 0.4099
H 0.3505 0.9406 0.5901
H 0.8214 0.2029 0.3815
H 0.8214 0.4398 0.6185
O 0.1609 0.2051 0.6327
O 0.1609 0.5282 0.9557
O 0.4013 0.4013 0.0000
O 0.4753 0.9753 0.5000
O 0.5725 0.2051 0.0443
O 0.5725 0.5282 0.3673
O 0.6495 0.8129 0.8367
O 0.9740 0.2828 0.3089
O 0.9740 0.6651 0.6911
O 0.9762 0.8129 0.1633
CELL_PARAMETERS angstrom
-4.2099 5.3841 2.5312
4.2099 -5.3841 2.5312
4.2099 5.3841 -2.5312

---

[19]
! Sc2CoH | Alexandria | meta-GGA SCAN | single point on PBEsol structure; values from VASP
! * total DFT energy (no corrections): -49.23 eV/f.u.
&SYSTEM
  ibrav = 0, nat = 4, ntyp = 3
/
ATOMIC_SPECIES
Sc 44.96 Sc.upf
Co 58.93 Co.upf
H 1.01 H.upf
ATOMIC_POSITIONS crystal
Sc 0.0987 0.0987 0.0987
Sc 0.9013 0.9013 0.9013
Co 0.5000 0.5000 0.5000
H 0.0000 0.0000 0.0000
CELL_PARAMETERS angstrom
1.7841 1.0301 6.6015
-1.7841 1.0301 6.6015
0.0000 -2.0601 6.6015

---

[20]
! K2Tl2Bi | Alexandria | meta-GGA SCAN | single point on PBEsol structure; values from VASP
! * formation enthalpy at 0 K: -0.260 eV per atom
&SYSTEM
  ibrav = 0, nat = 10, ntyp = 3
/
ATOMIC_SPECIES
K 39.10 K.upf
Tl 204.38 Tl.upf
Bi 208.98 Bi.upf
ATOMIC_POSITIONS crystal
K 0.1828 0.3172 0.0000
K 0.3172 0.8172 0.0000
K 0.6828 0.1828 0.0000
K 0.8172 0.6828 0.0000
Tl 0.1298 0.6298 0.5000
Tl 0.3702 0.1298 0.5000
Tl 0.6298 0.8702 0.5000
Tl 0.8702 0.3702 0.5000
Bi 0.0000 0.0000 0.5000
Bi 0.5000 0.5000 0.5000
CELL_PARAMETERS angstrom
8.1619 0.0000 0.0000
0.0000 8.1619 0.0000
0.0000 0.0000 5.4865